{"formula": "CeYPuHg", "functional": "PBE-GGA", "state": "optimized geometry", "e_form_kj_per_mol_atoms": -3.4, "vol_a3_per_atom": 26.949, "space_group": "No. 216", "dos_at_fermi_per_ev_cell": 14.34, "total_energy_ev_per_atom": -6.79, "magnetic_moment_mub_per_fu": 8.95, "cell": [[-0.418, -4.781, -2.347], [3.210, -3.999, 1.496], [-1.988, -4.146, 2.720]], "species": ["Ce", "Pu", "Hg", "Y"], "frac_coords": [[0.250, 0.250, 0.250], [0.500, 0.500, 0.500], [0.000, 0.000, 0.000], [0.750, 0.750, 0.750]]}

{"formula": "CePuZrHg", "functional": "PBE-GGA", "state": "optimized geometry", "e_form_kj_per_mol_atoms": 0.1, "vol_a3_per_atom": 24.423, "space_group": "No. 216", "dos_at_fermi_per_ev_cell": 13.70, "total_energy_ev_per_atom": -7.28, "magnetic_moment_mub_per_fu": 8.39, "cell": [[5.170, 0.000, 0.000], [2.585, 4.477, 0.000], [2.585, 1.492, 4.221]], "species": ["Ce", "Pu", "Zr", "Hg"], "frac_coords": [[0.250, 0.250, 0.250], [0.000, 0.000, 0.000], [0.750, 0.750, 0.750], [0.500, 0.500, 0.500]]}

{"formula": "RbCeHg2", "functional": "PBE-GGA", "state": "optimized geometry", "e_form_kj_per_mol_atoms": -18.8, "vol_a3_per_atom": 33.585, "space_group": "No. 123", "dos_at_fermi_per_ev_cell": 8.21, "total_energy_ev_per_atom": -2.07, "magnetic_moment_mub_per_fu": 1.47, "cell": [[-2.670, -0.314, 2.824], [0.790, -3.804, 0.324], [6.187, 1.799, 6.050]], "species": ["Hg", "Hg", "Rb", "Ce"], "frac_coords": [[0.000, 0.000, 0.200], [0.000, 0.000, 0.800], [0.500, 0.500, 0.500], [0.500, 0.500, 0.000]]}